Record 1
A plane-wave DFT calculation with PBEsol was carried out for Zn2CO after structural relaxation.

abc: 3.8415 3.8415 3.8415
angles: 60.00 60.00 60.00
Last column: nearest neighbours and their distance in Å.
Fractional positions:
Zn 0.7500 0.7500 0.7500  4 C 2.35, 4 O 2.35
Zn 0.2500 0.2500 0.2500  4 C 2.35, 4 O 2.35
C 0.0000 0.0000 0.0000  8 Zn 2.35
O 0.5000 0.5000 0.5000  8 Zn 2.35

Properties
The calculation puts the uncorrected formation energy at 822 meV per atom. The calculation puts the volume at 40.1 Å³ per cell.

Record 2
A plane-wave DFT calculation with PBEsol was carried out for BaTl2Pb2 after structural relaxation.

abc: 3.8542 9.0395 9.0395
angles: 90.00 90.00 90.00
Last column: nearest neighbours and their distance in Å.
Fractional positions:
Tl 0.0000 0.3727 0.8727  1 Tl 3.25, 6 Pb 3.28-3.29, 2 Ba 3.56
Pb 0.5000 0.3351 0.1649  6 Tl 3.28-3.29
Pb 0.5000 0.6649 0.8351  6 Tl 3.28-3.29
Tl 0.0000 0.1273 0.3727  1 Tl 3.25, 6 Pb 3.28-3.29, 2 Ba 3.56
Ba 0.0000 0.5000 0.5000  4 Tl 3.56, 2 Ba 3.85, 8 Pb 3.89
Pb 0.5000 0.8351 0.3351  6 Tl 3.28-3.29
Pb 0.5000 0.1649 0.6649  6 Tl 3.28-3.29
Tl 0.0000 0.6273 0.1273  1 Tl 3.25, 6 Pb 3.28-3.29, 2 Ba 3.56
Ba 0.0000 0.0000 0.0000  4 Tl 3.56, 2 Ba 3.85, 8 Pb 3.89
Tl 0.0000 0.8727 0.6273  1 Tl 3.25, 6 Pb 3.28-3.29, 2 Ba 3.56

Properties
Its raw total energy is -16.54 eV/f.u. The calculation puts the volume at 314.9 Å³ per cell.

Record 3
A plane-wave DFT calculation with PBEsol was carried out for BaAlO3 after structural relaxation.

abc: 3.9080 3.9080 3.9080
angles: 90.00 90.00 90.00
Last column: nearest neighbours and their distance in Å.
Fractional positions:
O 0.0000 0.5000 0.5000  2 Al 1.95
O 0.5000 0.5000 0.0000  2 Al 1.95
O 0.5000 0.0000 0.5000  2 Al 1.95
Ba 0.0000 0.0000 0.0000  12 O 2.76
Al 0.5000 0.5000 0.5000  6 O 1.95

Properties
The calculation puts the uncorrected formation energy at -2551 meV per atom. The calculation puts the volume at 59.7 Å³ per cell.

- Which value of volume does entry 1 give?
  40.1 Å³ per cell

- What is the formula in the first record?
  Zn2CO